## a
PrNdZn4 PBE optimized geometry; Fermi-level density of states = 6.1 states/eV per cell; symmetry = Immm (71); calculated density = 6.86 g/cm³; magnetic moment = 0.0 μB/f.u.
1.0
-2.302 3.607 3.986
2.302 -3.607 3.986
2.302 3.607 -3.986
Pr Nd Zn
1 1 4
direct
0.000 0.000 0.000 Pr
0.500 0.000 0.500 Nd
0.084 0.333 0.751 Zn
0.418 0.667 0.751 Zn
0.582 0.333 0.249 Zn
0.916 0.667 0.249 Zn

***

## b
PrNdZn4 PBE optimized geometry; Fermi-level density of states = 2.6 states/eV per cell; symmetry = F-43m (216); calculated density = 7.32 g/cm³; magnetic moment = 0.0 μB/f.u.
1.0
0.000 3.958 3.958
3.958 0.000 3.958
3.958 3.958 0.000
Pr Nd Zn
1 1 4
direct
0.000 0.000 0.000 Pr
0.250 0.250 0.250 Nd
0.125 0.625 0.625 Zn
0.625 0.125 0.625 Zn
0.625 0.625 0.125 Zn
0.625 0.625 0.625 Zn

***

Question: of the structures shown, which is the least stable? Reply: b.